# 1
Material: PmPrHoMg
Method: DFT, PBE-GGA
State: optimized geometry

Cell: 5.607 5.607 5.607 Å, 60.00 60.00 60.00°
Positions (direct):
Pm (0.000, 0.000, 0.000)
Pr (0.500, 0.500, 0.500)
Ho (0.750, 0.750, 0.750)
Mg (0.250, 0.250, 0.250)

Total magnetization ... 0.0 μB per formula unit
DOS(E_F) ... 4.58 states/eV per cell
Crystal system ... cubic
VASP energy ... -3.907 eV/atom
Symmetry ... F-43m, No. 216
ΔH_f (0 K) ... 0.44 kcal/mol of atoms

# 2
Material: Pm5Pr2HoMg
Method: DFT, PBE-GGA
State: optimized geometry

Cell: 10.522 10.522 10.779 Å, 90.00 90.00 149.30°
Positions (direct):
Pm (0.000, 0.000, 0.000)
Pm (0.000, 0.000, 0.500)
Pm (0.121, 0.879, 0.750)
Pm (0.212, 0.788, 0.053)
Pm (0.212, 0.788, 0.448)
Pm (0.485, 0.515, 0.750)
Pm (0.515, 0.485, 0.250)
Pm (0.788, 0.212, 0.553)
Pm (0.788, 0.212, 0.948)
Pm (0.879, 0.121, 0.250)
Pr (0.384, 0.616, 0.461)
Pr (0.385, 0.615, 0.040)
Pr (0.615, 0.385, 0.540)
Pr (0.616, 0.384, 0.961)
Ho (0.299, 0.701, 0.751)
Ho (0.701, 0.299, 0.251)
Mg (0.095, 0.905, 0.249)
Mg (0.905, 0.095, 0.749)

Total magnetization ... 0.0 μB per formula unit
DOS(E_F) ... 25.28 states/eV per cell
Crystal system ... orthorhombic
VASP energy ... -4.302 eV/atom
Symmetry ... Cmc2_1, No. 36
ΔH_f (0 K) ... 1.96 kcal/mol of atoms

# 3
Material: Pm4PrHo2Mg
Method: DFT, PBE-GGA
State: optimized geometry

Cell: 5.859 5.859 7.568 Å, 90.00 90.00 90.00°
Positions (direct):
Pm (0.000, 0.500, 0.245)
Pm (0.000, 0.500, 0.755)
Pm (0.500, 0.000, 0.245)
Pm (0.500, 0.000, 0.755)
Pr (0.000, 0.000, 0.000)
Ho (0.000, 0.000, 0.500)
Ho (0.500, 0.500, 0.500)
Mg (0.500, 0.500, 0.000)

Total magnetization ... 0.0 μB per formula unit
DOS(E_F) ... 12.50 states/eV per cell
Crystal system ... tetragonal
VASP energy ... -4.248 eV/atom
Symmetry ... P4/mmm, No. 123
ΔH_f (0 K) ... 1.58 kcal/mol of atoms

# 4
Material: PmPrHoMg
Method: DFT, PBE-GGA
State: optimized geometry

Cell: 3.695 3.695 9.157 Å, 90.00 90.00 90.00°
Positions (direct):
Pm (0.000, 0.000, 0.000)
Pr (0.500, 0.500, 0.280)
Ho (0.000, 0.000, 0.549)
Mg (0.500, 0.500, 0.768)

Total magnetization ... 0.0 μB per formula unit
DOS(E_F) ... 4.56 states/eV per cell
Crystal system ... tetragonal
VASP energy ... -3.957 eV/atom
Symmetry ... P4mm, No. 99
ΔH_f (0 K) ... -0.71 kcal/mol of atoms

# 5
Material: Pm6Pr3Ho2Mg
Method: DFT, PBE-GGA
State: optimized geometry

Cell: 6.292 6.292 11.911 Å, 95.09 95.09 120.07°
Positions (direct):
Pm (0.080, 0.411, 0.243)
Pm (0.252, 0.252, 0.756)
Pm (0.411, 0.080, 0.243)
Pm (0.589, 0.920, 0.757)
Pm (0.748, 0.748, 0.244)
Pm (0.920, 0.589, 0.757)
Pr (0.167, 0.833, 0.500)
Pr (0.500, 0.500, 0.500)
Pr (0.833, 0.167, 0.500)
Ho (0.334, 0.666, 0.000)
Ho (0.666, 0.334, 0.000)
Mg (0.000, 0.000, 0.000)

Total magnetization ... 0.0 μB per formula unit
DOS(E_F) ... 15.49 states/eV per cell
Crystal system ... monoclinic
VASP energy ... -4.435 eV/atom
Symmetry ... C2/m, No. 12
ΔH_f (0 K) ... 0.71 kcal/mol of atoms

# 6
Material: Pm2PrHoMg
Method: DFT, PBE-GGA
State: optimized geometry

Cell: 6.240 5.693 9.508 Å, 90.00 108.68 90.00°
Positions (direct):
Pm (0.047, 0.250, 0.300)
Pm (0.124, 0.750, 0.109)
Pm (0.876, 0.250, 0.891)
Pm (0.953, 0.750, 0.700)
Pr (0.465, 0.250, 0.111)
Pr (0.535, 0.750, 0.889)
Ho (0.339, 0.750, 0.502)
Ho (0.661, 0.250, 0.498)
Mg (0.273, 0.250, 0.690)
Mg (0.727, 0.750, 0.310)

Total magnetization ... 0.0 μB per formula unit
DOS(E_F) ... 13.74 states/eV per cell
Crystal system ... monoclinic
VASP energy ... -4.073 eV/atom
Symmetry ... P2_1/m, No. 11
ΔH_f (0 K) ... 0.41 kcal/mol of atoms